A geometry-optimized Ba2HgSb2 structure. Source: Alexandria via LeMat-Bulk, functional PBE.

**Energy relative to the elements, uncorrected**: -0.5872 eV per atom
**D(E_F)**: 8.30 states/eV/cell

Unit cell a=10.2664 b=10.2664 c=3.7960 alpha=90.00 beta=90.00 gamma=90.00
With the nearest neighbours (Å) after each atom.
Atoms (fractional coordinates):
Hg: 0.0000 0.0000 0.0000  2 Hg 3.80, 4 Ba 3.94
Ba: 0.8554 0.6446 0.0000  6 Sb 3.49-3.61, 2 Ba 3.80
Ba: 0.6446 0.1446 0.0000  6 Sb 3.49-3.61, 2 Ba 3.80
Sb: 0.1539 0.6539 0.5000  6 Ba 3.49-3.61, 2 Sb 3.80
Ba: 0.1446 0.3554 0.0000  6 Sb 3.49-3.61, 2 Ba 3.80
Ba: 0.3554 0.8554 0.0000  6 Sb 3.49-3.61, 2 Ba 3.80
Sb: 0.6539 0.8461 0.5000  6 Ba 3.49-3.61, 2 Sb 3.80
Sb: 0.8461 0.3461 0.5000  6 Ba 3.49-3.61, 2 Sb 3.80
Hg: 0.5000 0.5000 0.0000  2 Hg 3.80, 4 Ba 3.94
Sb: 0.3461 0.1539 0.5000  6 Ba 3.49-3.61, 2 Sb 3.80